1.
# Si3Te (GGA-PBE, optimized geometry)
data_Si3Te
_chemical_formula_sum 'Si3 Te1'
_cell_length_a 4.688
_cell_length_b 4.688
_cell_length_c 3.388
_cell_angle_alpha 90.00
_cell_angle_beta 90.00
_cell_angle_gamma 90.00
_symmetry_space_group_name_H-M 'P 4/m m m'
_symmetry_Int_Tables_number 123
_symmetry_space_group_name_Hall '-P 4 2'
loop_
_atom_site_label
_atom_site_fract_x
_atom_site_fract_y
_atom_site_fract_z
Si1 0.000 0.000 0.000
Si2 0.000 0.500 0.500
Te1 0.500 0.500 0.000
# - DOS at the Fermi energy (states/eV per atom) = 0.59
# - formation energy (no corrections) (eV per atom) = 0.688
# - uncorrected energy (eV/atom) = -4.165
# - crystal system = tetragonal


2.
# Ni3Ru2Rh2 (GGA-PBE, optimized geometry)
data_Ni3Ru2Rh2
_chemical_formula_sum 'Ni6 Ru4 Rh4'
_cell_length_a 8.360
_cell_length_b 3.678
_cell_length_c 7.313
_cell_angle_alpha 90.00
_cell_angle_beta 119.89
_cell_angle_gamma 90.00
_symmetry_space_group_name_H-M 'C 1 2/m 1'
_symmetry_Int_Tables_number 12
loop_
_symmetry_equiv_pos_as_xyz
'x,y,z'
'-x,-y,-z'
'-x,y,-z'
'x,-y,z'
'x+1/2,y+1/2,z'
'-x+1/2,-y+1/2,-z'
'-x+1/2,y+1/2,-z'
'x+1/2,-y+1/2,z'
loop_
_atom_site_label
_atom_site_fract_x
_atom_site_fract_y
_atom_site_fract_z
Ni1 0.000 0.000 0.000
Ni2 0.059 0.000 0.376
Ru1 0.143 0.500 0.867
Rh1 0.204 0.500 0.256
# - DOS at the Fermi energy (states/eV per atom) = 1.65
# - uncorrected energy (eV/atom) = -6.905
# - crystal system = monoclinic
# - ΔE_f (kJ per mole of atoms) = 31.2